Material: HoMgGaPt
Method: DFT, PBE
State: optimized geometry

Results
total magnetization: 0.00 Bohr magnetons per cell
VASP energy: -4.5818 eV per atom

CIF file:
```
data_HoMgGaPt
_chemical_formula_sum 'Ho4 Mg4 Ga4 Pt4'
_space_group_name_H-M_alt 'F -4 3 m'
_space_group_IT_number 216
_space_group_name_Hall 'F -4 2 3'
_cell_length_a 6.769
_cell_length_b 6.769
_cell_length_c 6.769
_cell_angle_alpha 90.00
_cell_angle_beta 90.00
_cell_angle_gamma 90.00
loop_
_atom_site_label
_atom_site_type_symbol
_atom_site_fract_x
_atom_site_fract_y
_atom_site_fract_z
Ho1 Ho 0.000 0.000 0.000
Mg1 Mg 0.000 0.000 0.500
Ga1 Ga 0.250 0.250 0.750
Pt1 Pt 0.250 0.250 0.250
```

Material: HoMgGa2Pt4
Method: DFT, PBE
State: optimized geometry

Results
total magnetization: 0.00 Bohr magnetons per cell
VASP energy: -5.4061 eV per atom

CIF file:
```
data_HoMgGa2Pt4
_chemical_formula_sum 'Ho3 Mg3 Ga6 Pt12'
_space_group_name_H-M_alt 'R -3 m'
_space_group_IT_number 166
_space_group_name_Hall '-R 3 2"'
_cell_length_a 4.3605
_cell_length_b 4.3605
_cell_length_c 25.1201
_cell_angle_alpha 90.00
_cell_angle_beta 90.00
_cell_angle_gamma 120.00
loop_
_atom_site_label
_atom_site_type_symbol
_atom_site_fract_x
_atom_site_fract_y
_atom_site_fract_z
Ho1 Ho 0.0000 0.0000 0.0000
Mg1 Mg 0.0000 0.0000 0.5000
Ga1 Ga 0.0000 0.0000 0.2449
Pt1 Pt 0.0000 0.0000 0.1301
Pt2 Pt 0.0000 0.0000 0.3977
```

Material: HoMg2Ga2Pt
Method: DFT, PBE
State: optimized geometry

Results
total magnetization: 0.00 Bohr magnetons per cell
VASP energy: -3.3271 eV per atom

CIF file:
```
data_HoMg2Ga2Pt
_chemical_formula_sum 'Ho2 Mg4 Ga4 Pt2'
_space_group_name_H-M_alt 'I 4/m m m'
_space_group_IT_number 139
_space_group_name_Hall '-I 4 2'
_cell_length_a 5.115
_cell_length_b 5.115
_cell_length_c 10.686
_cell_angle_alpha 90.00
_cell_angle_beta 90.00
_cell_angle_gamma 90.00
loop_
_atom_site_label
_atom_site_type_symbol
_atom_site_fract_x
_atom_site_fract_y
_atom_site_fract_z
Ho1 Ho 0.000 0.000 0.000
Mg1 Mg 0.000 0.500 0.250
Ga1 Ga 0.000 0.000 0.277
Pt1 Pt 0.000 0.000 0.500
```

Material: HoPuMgGa
Method: DFT, PBE
State: optimized geometry

Results
total magnetization: 24.55 Bohr magnetons per cell
VASP energy: -6.0409 eV per atom

CIF file:
```
data_HoPuMgGa
_chemical_formula_sum 'Ho4 Pu4 Mg4 Ga4'
_space_group_name_H-M_alt 'F -4 3 m'
_space_group_IT_number 216
_space_group_name_Hall 'F -4 2 3'
_cell_length_a 7.308
_cell_length_b 7.308
_cell_length_c 7.308
_cell_angle_alpha 90.00
_cell_angle_beta 90.00
_cell_angle_gamma 90.00
loop_
_atom_site_label
_atom_site_type_symbol
_atom_site_fract_x
_atom_site_fract_y
_atom_site_fract_z
Ho1 Ho 0.000 0.000 0.000
Pu1 Pu 0.000 0.000 0.500
Mg1 Mg 0.250 0.250 0.250
Ga1 Ga 0.250 0.250 0.750
```

Material: HoMgGa2Rh2
Method: DFT, PBE
State: optimized geometry

Results
total magnetization: 0.00 Bohr magnetons per cell
VASP energy: -5.2194 eV per atom

CIF file:
```
data_HoMgGa2Rh2
_chemical_formula_sum 'Ho1 Mg1 Ga2 Rh2'
_space_group_name_H-M_alt 'P -3 m 1'
_space_group_IT_number 164
_space_group_name_Hall '-P 3 2"'
_cell_length_a 4.3264
_cell_length_b 4.3264
_cell_length_c 6.5486
_cell_angle_alpha 90.00
_cell_angle_beta 90.00
_cell_angle_gamma 120.00
loop_
_atom_site_label
_atom_site_type_symbol
_atom_site_fract_x
_atom_site_fract_y
_atom_site_fract_z
Ho1 Ho 0.0000 0.0000 0.0000
Mg1 Mg 0.0000 0.0000 0.5000
Ga1 Ga 0.3333 0.6667 0.2672
Rh1 Rh 0.3333 0.6667 0.6669
```

Material: HoMgGaRh
Method: DFT, PBE
State: optimized geometry

Results
total magnetization: 0.00 Bohr magnetons per cell
VASP energy: -4.6770 eV per atom

CIF file:
```
data_HoMgGaRh
_chemical_formula_sum 'Ho4 Mg4 Ga4 Rh4'
_space_group_name_H-M_alt 'F -4 3 m'
_space_group_IT_number 216
_space_group_name_Hall 'F -4 2 3'
_cell_length_a 6.716
_cell_length_b 6.716
_cell_length_c 6.716
_cell_angle_alpha 90.00
_cell_angle_beta 90.00
_cell_angle_gamma 90.00
loop_
_atom_site_label
_atom_site_type_symbol
_atom_site_fract_x
_atom_site_fract_y
_atom_site_fract_z
Ho1 Ho 0.000 0.000 0.000
Mg1 Mg 0.000 0.000 0.500
Ga1 Ga 0.250 0.250 0.250
Rh1 Rh 0.250 0.250 0.750
```

Material: HoMgGaRu
Method: DFT, PBE
State: optimized geometry

Results
total magnetization: 0.00 Bohr magnetons per cell
VASP energy: -4.8491 eV per atom

CIF file:
```
data_HoMgGaRu
_chemical_formula_sum 'Ho4 Mg4 Ga4 Ru4'
_space_group_name_H-M_alt 'F -4 3 m'
_space_group_IT_number 216
_space_group_name_Hall 'F -4 2 3'
_cell_length_a 6.691
_cell_length_b 6.691
_cell_length_c 6.691
_cell_angle_alpha 90.00
_cell_angle_beta 90.00
_cell_angle_gamma 90.00
loop_
_atom_site_label
_atom_site_type_symbol
_atom_site_fract_x
_atom_site_fract_y
_atom_site_fract_z
Ho1 Ho 0.000 0.000 0.000
Mg1 Mg 0.000 0.000 0.500
Ga1 Ga 0.250 0.250 0.250
Ru1 Ru 0.250 0.250 0.750
```

Material: Ho4MgGaRu2
Method: DFT, PBE
State: optimized geometry

Results
total magnetization: 0.00 Bohr magnetons per cell
VASP energy: -5.5325 eV per atom

CIF file:
```
data_Ho4MgGaRu2
_chemical_formula_sum 'Ho12 Mg3 Ga3 Ru6'
_space_group_name_H-M_alt 'R -3 m'
_space_group_IT_number 166
_space_group_name_Hall '-R 3 2"'
_cell_length_a 4.9447
_cell_length_b 4.9447
_cell_length_c 24.3545
_cell_angle_alpha 90.00
_cell_angle_beta 90.00
_cell_angle_gamma 120.00
loop_
_atom_site_label
_atom_site_type_symbol
_atom_site_fract_x
_atom_site_fract_y
_atom_site_fract_z
Ho1 Ho 0.0000 0.0000 0.1232
Ho2 Ho 0.0000 0.0000 0.3735
Mg1 Mg 0.0000 0.0000 0.5000
Ga1 Ga 0.0000 0.0000 0.0000
Ru1 Ru 0.0000 0.0000 0.2477
```